Entry 1:
Er6ScTa3 PBE-GGA relaxed; V = 31.0 Å³/atom; E_form = 1870 meV/atom; space-group type = I4/mmm (139); total moment = 0.0 μB/cell
1.0
6.521 -3.959 0.449
-0.981 -1.276 7.470
-5.409 -1.854 -5.070
Er Ta Sc
6 3 1
direct
0.000 0.675 0.675
0.257 0.257 0.000
0.325 0.000 0.325
0.000 0.325 0.325
0.675 0.000 0.675
0.743 0.743 0.000
0.750 0.250 0.500
0.250 0.750 0.500
0.500 0.500 0.000
0.000 0.000 0.000

Entry 2:
ErSc2Tc PBE-GGA relaxed; V = 22.7 Å³/atom; E_form = -170 meV/atom; space-group type = Pnma (62); total moment = 0.0 μB/cell
1.0
-3.620 -6.314 -1.142
5.398 -1.971 -6.211
3.450 -2.674 3.846
Er Tc Sc
4 4 8
direct
0.464 0.250 0.118
0.036 0.750 0.618
0.536 0.750 0.882
0.964 0.250 0.382
0.382 0.750 0.428
0.118 0.250 0.928
0.618 0.250 0.572
0.882 0.750 0.072
0.827 0.063 0.861
0.673 0.563 0.361
0.173 0.937 0.139
0.673 0.937 0.361
0.827 0.437 0.861
0.173 0.563 0.139
0.327 0.437 0.639
0.327 0.063 0.639

Entry 3:
ErScTc PBE-GGA relaxed; V = 22.9 Å³/atom; E_form = 766 meV/atom; space-group type = F-43m (216); total moment = 0.0 μB/cell
1.0
0.550 -3.810 -2.509
-3.058 -3.416 0.309
-2.836 -0.869 -3.509
Sc Tc Er
1 1 1
direct
0.000 0.000 0.000
0.750 0.750 0.750
0.250 0.250 0.250

Entry 4:
Er2ScTe3 PBE-GGA relaxed; V = 27.3 Å³/atom; raw total energy = -5.319 eV/atom; space-group type = P-3m1 (164); total moment = 0.0 μB/cell
1.0
-0.784 4.124 -0.713
-0.334 -1.581 3.940
10.045 2.209 1.739
Er Sc Te
2 1 3
direct
0.667 0.333 0.828
0.333 0.667 0.172
0.000 0.000 0.500
0.333 0.667 0.655
0.667 0.333 0.345
0.000 0.000 0.000

Entry 5:
ErThSc PBE-GGA relaxed; V = 34.1 Å³/atom; E_form = 735 meV/atom; space-group type = F-43m (216); distance to the lowest polymorph of the same formula = 0.0 kJ/mol of formula units; total moment = 0.0 μB/cell
1.0
4.515 -1.387 2.289
0.085 -3.946 3.459
2.294 -4.548 -1.264
Th Sc Er
1 1 1
direct
0.750 0.750 0.750
0.000 0.000 0.000
0.250 0.250 0.250

Entry 6:
ErScTl PBE-GGA relaxed; V = 29.2 Å³/atom; space-group type = F-43m (216); distance to the lowest polymorph of the same formula = 0.0 kJ/mol of formula units; total moment = 0.2 μB/cell
1.0
2.732 1.971 3.672
-2.205 2.646 3.601
-0.320 -1.854 4.614
Tl Sc Er
1 1 1
direct
0.000 0.000 0.000
0.750 0.750 0.750
0.250 0.250 0.250

Question: V of number 4 (Er2ScTe3)?
Answer: 27.3 Å³/atom

Question: Look up the total moment of the second one.
Answer: 0.0 μB/cell

Question: Which of these has the highest V?
Answer: ErThSc

Question: Which of these has the highest V?
Answer: ErThSc